10
Lattice="-4.864 2.569 0.284 -4.263 -2.443 2.488 -1.811 1.934 4.892" Properties=species:S:1:pos:R:3 comment="PBE with a Hubbard U CaCr2TeO6, relaxed" m_tot_mub_per_fu=6.0 space_group="No. 146" e_tot_ev_per_atom=-6.879 pbc="T T T"
Cr -1.855 1.866 4.750
Cr -5.552 0.902 3.565
O -5.299 -1.041 3.289
O -4.710 1.519 1.883
O -6.122 0.610 5.562
O -5.612 2.853 4.335
O -7.437 1.012 2.973
O -3.738 1.062 4.607
Te -2.956 0.175 1.201
Ca -8.344 1.329 5.292